# 1
The following is a PBE-GGA calculation of crystalline Be3TcHg at its relaxed geometry, from Alexandria via LeMat-Bulk.

Cell and atoms, written as CIF:
```
data_Be3TcHg
_cell_length_a 4.255
_cell_length_b 4.255
_cell_length_c 4.255
_cell_angle_alpha 90.00
_cell_angle_beta 90.00
_cell_angle_gamma 90.00
_symmetry_space_group_name_H-M 'P m -3 m'
_symmetry_Int_Tables_number 221
_symmetry_space_group_name_Hall '-P 4 2 3'
loop_
_atom_site_label
_atom_site_fract_x
_atom_site_fract_y
_atom_site_fract_z
Be1 0.000 0.000 0.500
Tc1 0.000 0.000 0.000
Hg1 0.500 0.500 0.500
```

Summary:
Energy above the most stable polymorph in this dataset = 0.00 eV per formula unit



# 2
The following is a PBE-GGA calculation of crystalline Be3TcHg at its relaxed geometry, from Alexandria via LeMat-Bulk.

Cell and atoms, written as CIF:
```
data_Be3TcHg
_cell_length_a 4.287
_cell_length_b 4.287
_cell_length_c 4.287
_cell_angle_alpha 90.00
_cell_angle_beta 90.00
_cell_angle_gamma 90.00
_symmetry_space_group_name_H-M 'P m -3 m'
_symmetry_Int_Tables_number 221
_symmetry_space_group_name_Hall '-P 4 2 3'
loop_
_atom_site_label
_atom_site_fract_x
_atom_site_fract_y
_atom_site_fract_z
Be1 0.000 0.000 0.500
Tc1 0.500 0.500 0.500
Hg1 0.000 0.000 0.000
```

Summary:
Energy above the most stable polymorph in this dataset = 2.03 eV per formula unit



# 3
The following is a PBE-GGA calculation of crystalline BeTcHg at its relaxed geometry, from Alexandria via LeMat-Bulk.

Cell and atoms, written as CIF:
```
data_BeTcHg
_cell_length_a 2.8494
_cell_length_b 2.8494
_cell_length_c 6.5475
_cell_angle_alpha 90.00
_cell_angle_beta 90.00
_cell_angle_gamma 120.00
_symmetry_space_group_name_H-M 'P 3 m 1'
_symmetry_Int_Tables_number 156
loop_
_symmetry_equiv_pos_as_xyz
'x,y,z'
'-y,x-y,z'
'-x+y,-x,z'
'-y,-x,z'
'-x+y,y,z'
'x,x-y,z'
loop_
_atom_site_label
_atom_site_fract_x
_atom_site_fract_y
_atom_site_fract_z
Be1 0.0000 0.0000 0.0000
Tc1 0.3333 0.6667 0.7271
Hg1 0.6667 0.3333 0.3439
```

Summary:
Energy above the most stable polymorph in this dataset = 0.33 eV per formula unit



# 4
The following is a PBE-GGA calculation of crystalline BeTcHg at its relaxed geometry, from Alexandria via LeMat-Bulk.

Cell and atoms, written as CIF:
```
data_BeTcHg
_cell_length_a 4.2795
_cell_length_b 4.2795
_cell_length_c 2.8246
_cell_angle_alpha 90.00
_cell_angle_beta 90.00
_cell_angle_gamma 120.00
_symmetry_space_group_name_H-M 'P -6 m 2'
_symmetry_Int_Tables_number 187
_symmetry_space_group_name_Hall 'P -6 2'
loop_
_atom_site_label
_atom_site_fract_x
_atom_site_fract_y
_atom_site_fract_z
Be1 0.0000 0.0000 0.0000
Tc1 0.3333 0.6667 0.5000
Hg1 0.6667 0.3333 0.0000
```

Summary:
Energy above the most stable polymorph in this dataset = 0.48 eV per formula unit



# 5
The following is a PBE-GGA calculation of crystalline TiBe2TcHg at its relaxed geometry, from Alexandria via LeMat-Bulk.

Cell and atoms, written as CIF:
```
data_TiBe2TcHg
_cell_length_a 4.221
_cell_length_b 4.221
_cell_length_c 5.166
_cell_angle_alpha 90.00
_cell_angle_beta 90.00
_cell_angle_gamma 90.00
_symmetry_space_group_name_H-M 'P 4/m m m'
_symmetry_Int_Tables_number 123
_symmetry_space_group_name_Hall '-P 4 2'
loop_
_atom_site_label
_atom_site_fract_x
_atom_site_fract_y
_atom_site_fract_z
Ti1 0.000 0.000 0.000
Be1 0.000 0.500 0.500
Tc1 0.500 0.500 0.000
Hg1 0.500 0.500 0.500
```



# 6
The following is a PBE-GGA calculation of crystalline YBe2TcHg at its relaxed geometry, from Alexandria via LeMat-Bulk.

Cell and atoms, written as CIF:
```
data_YBe2TcHg
_cell_length_a 4.371
_cell_length_b 4.371
_cell_length_c 5.249
_cell_angle_alpha 90.00
_cell_angle_beta 90.00
_cell_angle_gamma 90.00
_symmetry_space_group_name_H-M 'P 4/m m m'
_symmetry_Int_Tables_number 123
_symmetry_space_group_name_Hall '-P 4 2'
loop_
_atom_site_label
_atom_site_fract_x
_atom_site_fract_y
_atom_site_fract_z
Y1 0.000 0.000 0.000
Be1 0.000 0.500 0.500
Tc1 0.500 0.500 0.000
Hg1 0.500 0.500 0.500
```



Number 1: formation energy from the elements 458 kJ/mol of formula units, M_tot 0.00 μB/f.u.. Number 2: formation energy from the elements 654 kJ/mol of formula units, M_tot 2.04 μB/f.u.. Number 3: formation energy from the elements 153 kJ/mol of formula units, M_tot 0.00 μB/f.u.. Number 4: formation energy from the elements 167 kJ/mol of formula units, M_tot 0.10 μB/f.u.. Number 5: formation energy from the elements 607 kJ/mol of formula units, M_tot 0.50 μB/f.u.. Number 6: formation energy from the elements 400 kJ/mol of formula units, M_tot 1.50 μB/f.u..